No. 1
First-principles (PBE-GGA) data for LaPb2C after structural relaxation, as listed in Alexandria via LeMat-Bulk.

a b c (Å): 6.849 6.849 6.849
angles (deg): 98.94 98.94 133.56
Positions (direct):
La: 0.000 0.000 0.000
La: 0.750 0.250 0.500
Pb: 0.232 0.625 0.107
Pb: 0.375 0.482 0.607
Pb: 0.518 0.125 0.893
Pb: 0.875 0.768 0.393
C: 0.250 0.750 0.500
C: 0.500 0.500 0.000

Computed properties:
As for the raw total energy: -38.984 eV for the cell shown. For the energy relative to the elements, the calculation gives 0.519 eV per atom. As for the total magnetization: 0.0 μB per cell. For the volume, the calculation gives 26.739 Å³/atom. Its space group is I-42d, No. 122.

No. 2
First-principles (PBE-GGA) data for ScTl3Ga after structural relaxation, as listed in Alexandria via LeMat-Bulk.

a b c (Å): 5.642 5.642 5.642
angles (deg): 90.00 90.00 90.00
Positions (direct):
Sc: 0.000 0.000 0.000
Tl: 0.000 0.000 0.500
Tl: 0.000 0.500 0.000
Tl: 0.500 0.000 0.000
Ga: 0.500 0.500 0.500

Computed properties:
As for the raw total energy: -14.265 eV for the cell shown. For the energy relative to the elements, the calculation gives 0.438 eV per atom. As for the total magnetization: 0.0 μB per cell. For the volume, the calculation gives 35.913 Å³/atom. Its space group is Pm-3m, No. 221.

No. 3
First-principles (PBE-GGA) data for Sr3Sb2AsPd9 after structural relaxation, as listed in Alexandria via LeMat-Bulk.

a b c (Å): 6.921 6.921 8.702
angles (deg): 90.00 90.00 120.00
Positions (direct):
Sr: 0.000 0.000 0.000
Sr: 0.333 0.667 0.681
Sr: 0.667 0.333 0.319
Sb: 0.333 0.667 0.195
Sb: 0.667 0.333 0.805
As: 0.000 0.000 0.500
Pd: 0.000 0.500 0.000
Pd: 0.136 0.272 0.296
Pd: 0.136 0.864 0.296
Pd: 0.272 0.136 0.704
Pd: 0.500 0.000 0.000
Pd: 0.500 0.500 0.000
Pd: 0.728 0.864 0.296
Pd: 0.864 0.136 0.704
Pd: 0.864 0.728 0.704

Computed properties:
As for the raw total energy: -72.373 eV for the cell shown. As for the total magnetization: 0.0 μB per cell. For the volume, the calculation gives 24.066 Å³/atom. As for the formation energy from raw total energies: -0.51 eV per atom. Its space group is P-3m1, No. 164.

No. 4
First-principles (PBE-GGA) data for Sr5UAs5 after structural relaxation, as listed in Alexandria via LeMat-Bulk.

a b c (Å): 7.764 7.764 8.750
angles (deg): 106.98 106.98 46.45
Positions (direct):
Sr: 0.000 0.000 0.000
Sr: 0.312 0.312 0.177
Sr: 0.324 0.324 0.646
Sr: 0.676 0.676 0.354
Sr: 0.688 0.688 0.823
U: 0.000 0.000 0.500
As: 0.143 0.143 0.338
As: 0.153 0.153 0.812
As: 0.500 0.500 0.500
As: 0.847 0.847 0.188
As: 0.857 0.857 0.662

Computed properties:
As for the raw total energy: -54.070 eV for the cell shown. For the energy relative to the elements, the calculation gives -1.011 eV per atom. As for the total magnetization: 1.0 μB per cell. For the volume, the calculation gives 32.954 Å³/atom. Its space group is C2/m, No. 12.

No. 5
First-principles (PBE-GGA) data for RbPmCd17 after structural relaxation, as listed in Alexandria via LeMat-Bulk.

a b c (Å): 7.793 7.793 7.793
angles (deg): 82.43 82.43 82.43
Positions (direct):
Rb: 0.000 0.000 0.000
Pm: 0.332 0.332 0.332
Cd: 0.034 0.034 0.476
Cd: 0.034 0.476 0.034
Cd: 0.148 0.676 0.676
Cd: 0.314 0.314 0.796
Cd: 0.314 0.796 0.314
Cd: 0.368 0.660 0.961
Cd: 0.368 0.961 0.660
Cd: 0.476 0.034 0.034
Cd: 0.556 0.556 0.556
Cd: 0.660 0.368 0.961
Cd: 0.660 0.961 0.368
Cd: 0.676 0.148 0.676
Cd: 0.676 0.676 0.148
Cd: 0.755 0.755 0.755
Cd: 0.796 0.314 0.314
Cd: 0.961 0.368 0.660
Cd: 0.961 0.660 0.368

Computed properties:
As for the raw total energy: -22.969 eV for the cell shown. For the energy relative to the elements, the calculation gives -0.089 eV per atom. As for the total magnetization: 0.0 μB per cell. For the volume, the calculation gives 24.314 Å³/atom. Its space group is R3m, No. 160.

No. 6
First-principles (PBE-GGA) data for TcAgBr2 after structural relaxation, as listed in Alexandria via LeMat-Bulk.

a b c (Å): 4.774 4.774 4.774
angles (deg): 60.00 60.00 60.00
Positions (direct):
Tc: 0.000 0.000 0.000
Ag: 0.500 0.500 0.500
Br: 0.250 0.250 0.250
Br: 0.750 0.750 0.750

Computed properties:
As for the raw total energy: -13.533 eV for the cell shown. As for the total magnetization: 0.0 μB per cell. For the volume, the calculation gives 19.235 Å³/atom. As for the formation energy from raw total energies: 0.76 eV per atom. Its space group is Fm-3m, No. 225.

Please write out number 6 again, unchanged.
First-principles (PBE-GGA) data for TcAgBr2 after structural relaxation, as listed in Alexandria via LeMat-Bulk.

a b c (Å): 4.774 4.774 4.774
angles (deg): 60.00 60.00 60.00
Positions (direct):
Tc: 0.000 0.000 0.000
Ag: 0.500 0.500 0.500
Br: 0.250 0.250 0.250
Br: 0.750 0.750 0.750

Computed properties:
As for the raw total energy: -13.533 eV for the cell shown. As for the total magnetization: 0.0 μB per cell. For the volume, the calculation gives 19.235 Å³/atom. As for the formation energy from raw total energies: 0.76 eV per atom. Its space group is Fm-3m, No. 225.

Look up the raw total energy of the first one. -38.984 eV for the cell shown

The highest raw total energy belongs to which entry? TcAgBr2

Look up the total magnetization of the fifth one. 0.0 μB per cell